# K2ZrPt

A PBEsol-optimized structure of K2ZrPt (SCAN, the Alexandria database).

Cell lengths 2.9709, 5.6106, 5.8991 Å; angles 90.00, 90.00, 90.00 degrees
Closest atoms and distances in Å follow each position.
Sites, in units of the cell vectors:
K (0.0000, 0.7397, 0.0000)  4 K 2.69-2.97
K (0.0000, 0.2603, 0.0000)  4 K 2.69-2.97
Pt (0.5000, 0.5000, 0.5000)  2 Zr 2.81, 2 Pt 2.97
Zr (0.5000, 0.0000, 0.5000)  2 Pt 2.81, 2 Zr 2.97

Values from the calculation:
Its volume is 24.58 Å³ per atom. Its uncorrected energy is -115.5 eV for the cell shown. The space group is Pmmm. The formation energy comes out at 2.1 eV per formula unit. Its total magnetic moment is 1.0 μB per cell.



# NbAlTe2

A PBEsol-optimized structure of NbAlTe2 (SCAN, the Alexandria database).

Cell lengths 3.4896, 3.4896, 9.8752 Å; angles 79.82, 79.82, 60.00 degrees
Closest atoms and distances in Å follow each position.
Sites, in units of the cell vectors:
Nb (0.5000, 0.5000, 0.5000)  6 Te 2.77
Te (0.8987, 0.8987, 0.3039)  3 Nb 2.77, 1 Al 2.94
Te (0.1013, 0.1013, 0.6961)  3 Nb 2.77, 1 Al 2.94
Al (0.0000, 0.0000, 0.0000)  2 Te 2.94

Values from the calculation:
Its volume is 25.49 Å³ per atom. Its uncorrected energy is -115.6 eV for the cell shown. The space group is R-3m. Its total magnetic moment is 0.0 μB per cell.



# BaNbP2O

A PBEsol-optimized structure of BaNbP2O (SCAN, the Alexandria database).

Cell lengths 4.1869, 5.3570, 5.3570 Å; angles 90.00, 90.00, 90.00 degrees
Closest atoms and distances in Å follow each position.
Sites, in units of the cell vectors:
P (0.0000, 0.0000, 0.5000)  2 Ba 2.68
P (0.0000, 0.5000, 0.0000)  2 Ba 2.68
Nb (0.5000, 0.5000, 0.5000)  8 P 3.40, 4 O 3.79
Ba (0.0000, 0.0000, 0.0000)  2 O 2.09
O (0.5000, 0.0000, 0.0000)  2 Ba 2.09

Values from the calculation:
Its volume is 24.03 Å³ per atom. Its uncorrected energy is -94.1 eV for the cell shown. The space group is P4/mmm. Its total magnetic moment is 1.9 μB per cell.



Question: Which of these has the highest volume?
Answer: NbAlTe2